NbPdPtBr2 (PBE, relaxed); E = -4.007 eV/atom; symmetry = No. 123
1.0
4.858 0.000 0.000
0.000 4.858 0.000
0.000 0.000 5.169
Nb Pd Pt Br
1 1 1 2
Direct
0.000 0.000 0.000 Nb
0.500 0.500 0.500 Pd
0.500 0.500 0.000 Pt
0.000 0.500 0.500 Br
0.500 0.000 0.500 Br

NbPdSBr2 (PBE, relaxed); E = -3.953 eV/atom; symmetry = No. 123
1.0
5.015 0.000 0.000
0.000 5.015 0.000
0.000 0.000 4.796
Nb Pd S Br
1 1 1 2
Direct
0.000 0.000 0.000 Nb
0.500 0.500 0.500 Pd
0.500 0.500 0.000 S
0.000 0.500 0.500 Br
0.500 0.000 0.500 Br